Record 1
Entry from Alexandria: a geometry-optimized NaIn4Hg4 structure (PBE).

abc: 7.7859 7.7859 8.9532
angles: 90.00 90.00 90.00
Space group P4_2/nmc (No. 137, origin choice 2)
Asymmetric unit:
Na 0.2500 0.7500 0.2500
In 0.0020 0.2500 0.1238
Hg 0.0285 0.2500 0.4559

Calculated values
calculated formation energy: 0.2 kJ per mole of atoms

Record 2
Entry from Alexandria: a geometry-optimized BaHg2Se structure (PBE).

abc: 12.7035 4.7202 4.4848
angles: 90.00 98.54 90.00
Space group C2/m (No. 12)
Asymmetric unit:
Ba 0.0000 0.0000 0.0000
Hg 0.2342 0.5000 0.2562
Se 0.0000 0.5000 0.5000

Calculated values
uncorrected formation energy: -0.865 eV per atom

no.,total magnetic moment (Bohr magnetons per cell)
1,0.00
2,0.00